Below is ErTlCrF6 after structural relaxation, with properties calculated at the PBE+U level.

Output
- E_tot: -105.14 eV/cell

POSCAR file:
```
ErTlCrF6
1.0
-1.234 0.658 -5.694
-0.718 -5.220 2.571
-10.997 2.849 2.713
F Tl Er Cr
12 2 2 2
direct
0.996 0.378 0.652 F
0.004 0.622 0.348 F
0.996 0.618 0.848 F
0.618 0.996 0.348 F
0.618 0.622 0.152 F
0.378 0.382 0.348 F
0.382 0.004 0.652 F
0.622 0.004 0.848 F
0.378 0.996 0.152 F
0.382 0.378 0.848 F
0.622 0.618 0.652 F
0.004 0.382 0.152 F
0.000 0.000 0.500 Tl
0.000 0.000 0.000 Tl
0.667 0.333 0.250 Er
0.333 0.667 0.750 Er
0.667 0.333 0.750 Cr
0.333 0.667 0.250 Cr
```